Entry 1:
The following is a DFT calculation (PBE) of a relaxed structure of PuIrPt.

Cell and atoms, written as POSCAR:
```
PuIrPt
1.0
4.364 0.000 0.000
-2.182 3.779 0.000
0.000 0.000 3.758
Pu Ir Pt
1 1 1
Direct
0.000 0.000 0.000
0.333 0.667 0.500
0.667 0.333 0.500
```

The value obtained for the energy above the most stable polymorph in this dataset is 0.620 eV/f.u. As for the total magnetization: 1.631 μB per atom.

=====

Entry 2:
The following is a DFT calculation (PBE) of a relaxed structure of Pu4IrPt.

Cell and atoms, written as POSCAR:
```
Pu4IrPt
1.0
2.978 0.000 0.000
0.000 4.770 0.000
-0.116 0.000 8.491
Pu Ir Pt
4 1 1
Direct
0.000 0.000 0.000
0.012 0.500 0.518
0.257 0.500 0.853
0.270 0.000 0.332
0.647 0.500 0.180
0.625 0.000 0.671
```

The value obtained for the energy above the most stable polymorph in this dataset is 0.152 eV/f.u. As for the total magnetization: 1.757 μB per atom.

=====

Entry 3:
The following is a DFT calculation (PBE) of a relaxed structure of Pu2Ir3Pt.

Cell and atoms, written as POSCAR:
```
Pu2Ir3Pt
1.0
2.693 1.555 4.377
-2.693 1.555 4.377
0.000 -3.110 4.377
Pu Ir Pt
2 3 1
Direct
0.124 0.124 0.124
0.876 0.876 0.876
0.000 0.500 0.500
0.500 0.000 0.500
0.500 0.500 0.000
0.500 0.500 0.500
```

The total energy is -65.1 eV/cell. As for the total magnetization: 1.655 μB per atom.

=====

Entry 4:
The following is a DFT calculation (PBE) of a relaxed structure of Pu12Ir6Pt.

Cell and atoms, written as POSCAR:
```
Pu12Ir6Pt
1.0
6.130 3.539 3.890
-6.130 3.539 3.890
0.000 -7.078 3.890
Pu Ir Pt
12 6 1
Direct
0.040 0.663 0.935
0.065 0.960 0.337
0.183 0.423 0.580
0.337 0.065 0.960
0.420 0.817 0.577
0.423 0.580 0.183
0.577 0.420 0.817
0.580 0.183 0.423
0.663 0.935 0.040
0.817 0.577 0.420
0.935 0.040 0.663
0.960 0.337 0.065
0.133 0.623 0.314
0.314 0.133 0.623
0.377 0.686 0.867
0.623 0.314 0.133
0.686 0.867 0.377
0.867 0.377 0.686
0.000 0.000 0.000
```

The total energy is -234.8 eV/cell. As for the total magnetization: 0.067 μB per atom.

=====

Entry 5:
The following is a DFT calculation (PBE) of a relaxed structure of Pu12IrPt6.

Cell and atoms, written as POSCAR:
```
Pu12IrPt6
1.0
6.213 3.587 3.910
-6.213 3.587 3.910
0.000 -7.174 3.910
Pu Ir Pt
12 1 6
Direct
0.025 0.937 0.668
0.063 0.332 0.975
0.181 0.574 0.425
0.332 0.975 0.063
0.425 0.181 0.574
0.426 0.575 0.819
0.574 0.425 0.181
0.575 0.819 0.426
0.668 0.025 0.937
0.819 0.426 0.575
0.937 0.668 0.025
0.975 0.063 0.332
0.000 0.000 0.000
0.134 0.312 0.637
0.312 0.637 0.134
0.363 0.866 0.688
0.637 0.134 0.312
0.688 0.363 0.866
0.866 0.688 0.363
```

The total energy is -224.7 eV/cell. As for the total magnetization: 3.576 μB per atom.

=====

Entry 6:
The following is a DFT calculation (PBE) of a relaxed structure of Pu4IrPt3.

Cell and atoms, written as POSCAR:
```
Pu4IrPt3
1.0
3.026 0.000 0.000
0.000 5.253 0.000
0.000 0.000 10.496
Pu Ir Pt
4 1 3
Direct
0.000 0.000 0.000
0.000 0.000 0.500
0.000 0.500 0.243
0.000 0.500 0.757
0.500 0.500 0.000
0.500 0.000 0.250
0.500 0.000 0.750
0.500 0.500 0.500
```

The total energy is -89.5 eV/cell. As for the total magnetization: 2.684 μB per atom.

=====

Entry 7:
The following is a DFT calculation (PBE) of a relaxed structure of Pu4Ir2Pt.

Cell and atoms, written as POSCAR:
```
Pu4Ir2Pt
1.0
-4.295 4.295 4.256
4.295 -4.295 4.256
4.295 4.295 -4.256
Pu Ir Pt
8 4 2
Direct
0.130 0.735 0.747
0.133 0.238 0.753
0.265 0.012 0.395
0.485 0.380 0.247
0.617 0.870 0.605
0.620 0.867 0.105
0.762 0.515 0.895
0.988 0.383 0.253
0.244 0.625 0.119
0.375 0.494 0.619
0.506 0.125 0.881
0.875 0.756 0.381
0.000 0.000 0.000
0.750 0.250 0.500
```

The total energy is -169.7 eV/cell. As for the total magnetization: 2.949 μB per atom.

=====

Entry 8:
The following is a DFT calculation (PBE) of a relaxed structure of PuIrPt.

Cell and atoms, written as POSCAR:
```
PuIrPt
1.0
-1.787 1.787 4.425
1.787 -1.787 4.425
1.787 1.787 -4.425
Pu Ir Pt
1 1 1
Direct
0.000 0.000 0.000
0.344 0.344 0.000
0.673 0.673 0.000
```

The value obtained for the energy above the most stable polymorph in this dataset is 1.250 eV/f.u. As for the total magnetization: 1.356 μB per atom.

=====

Entry 9:
The following is a DFT calculation (PBE) of a relaxed structure of PuIrPt.

Cell and atoms, written as POSCAR:
```
PuIrPt
1.0
8.147 0.000 0.000
0.000 3.676 0.000
0.000 0.000 4.236
Pu Ir Pt
2 2 2
Direct
0.250 0.000 0.000
0.750 0.000 0.000
0.250 0.500 0.499
0.750 0.500 0.501
0.000 0.000 0.500
0.500 0.000 0.500
```

The value obtained for the energy above the most stable polymorph in this dataset is 1.108 eV/f.u. As for the total magnetization: 1.484 μB per atom.

=====

Entry 10:
The following is a DFT calculation (PBE) of a relaxed structure of PuIrPt.

Cell and atoms, written as POSCAR:
```
PuIrPt
1.0
-2.684 2.711 3.829
2.684 -2.711 3.829
2.684 2.711 -3.829
Pu Ir Pt
2 2 2
Direct
0.377 0.127 0.250
0.623 0.873 0.750
0.000 0.500 0.500
0.500 0.500 0.000
0.000 0.000 0.500
0.000 0.500 0.000
```

The value obtained for the energy above the most stable polymorph in this dataset is 0.000 eV/f.u. As for the total magnetization: 1.706 μB per atom.

=====

Entry 11:
The following is a DFT calculation (PBE) of a relaxed structure of Pu3IrPt.

Cell and atoms, written as POSCAR:
```
Pu3IrPt
1.0
4.081 0.000 0.000
0.000 6.638 0.000
0.000 0.000 9.033
Pu Ir Pt
6 2 2
Direct
0.250 0.020 0.171
0.250 0.250 0.569
0.250 0.480 0.171
0.750 0.520 0.829
0.750 0.750 0.431
0.750 0.980 0.829
0.250 0.250 0.898
0.750 0.750 0.102
0.250 0.750 0.651
0.750 0.250 0.349
```

The value obtained for the energy above the most stable polymorph in this dataset is 0.023 eV/f.u. As for the total magnetization: 3.285 μB per atom.

=====

Entry 12:
The following is a DFT calculation (PBE) of a relaxed structure of Pu6Ir2Pt.

Cell and atoms, written as POSCAR:
```
Pu6Ir2Pt
1.0
7.986 0.000 0.000
-3.993 6.916 0.000
0.000 0.000 2.739
Pu Ir Pt
6 2 1
Direct
0.000 0.347 0.072
0.000 0.653 0.928
0.347 0.000 0.072
0.347 0.347 0.928
0.653 0.000 0.928
0.653 0.653 0.072
0.333 0.667 0.500
0.667 0.333 0.500
0.000 0.000 0.500
```

The total energy is -109.6 eV/cell. As for the total magnetization: 0.000 μB per atom.